(w)
Here is an optimized crystal structure of LiCa6Tl from Alexandria via LeMat-Bulk. Energies are from PBE. Values from VASP.

Computed properties:
- Space group: No. 139
- Total magnetization: 0.00 μB/f.u.

Structure (Quantum ESPRESSO input):
```
&SYSTEM
  ibrav = 0, nat = 8, ntyp = 3
/
ATOMIC_SPECIES
Li 6.94 Li.upf
Ca 40.08 Ca.upf
Tl 204.38 Tl.upf
CELL_PARAMETERS angstrom
-2.7492 2.7492 9.4402
2.7492 -2.7492 9.4402
2.7492 2.7492 -9.4402
ATOMIC_POSITIONS crystal
Li 0.0000 0.0000 0.0000
Ca 0.1010 0.6010 0.5000
Ca 0.2494 0.2494 0.0000
Ca 0.3990 0.8990 0.5000
Ca 0.6010 0.1010 0.5000
Ca 0.7506 0.7506 0.0000
Ca 0.8990 0.3990 0.5000
Tl 0.5000 0.5000 0.0000
```


(x)
Here is an optimized crystal structure of LiCa6Tl from Alexandria via LeMat-Bulk. Energies are from PBE. Values from VASP.

Computed properties:
- Space group: No. 12
- Total magnetization: 0.00 μB/f.u.

Structure (Quantum ESPRESSO input):
```
&SYSTEM
  ibrav = 0, nat = 8, ntyp = 3
/
ATOMIC_SPECIES
Li 6.94 Li.upf
Ca 40.08 Ca.upf
Tl 204.38 Tl.upf
CELL_PARAMETERS angstrom
3.6742 -6.3865 0.0000
3.6742 6.3865 0.0000
-3.2667 0.0000 6.5652
ATOMIC_POSITIONS crystal
Li 0.0000 0.0000 0.0000
Ca 0.0545 0.4513 0.2502
Ca 0.2489 0.2489 0.7497
Ca 0.4513 0.0545 0.2502
Ca 0.5487 0.9455 0.7498
Ca 0.7511 0.7511 0.2503
Ca 0.9455 0.5487 0.7498
Tl 0.5000 0.5000 0.5000
```


Here are the energies relative to the best structure, in meV per atom: (w) 0; (x) 146.